Record 1
Entry from the Alexandria database: a relaxed Tb2TmAu2 crystal (PBE).

Unit cell a=8.1788 b=8.1788 c=3.7785 alpha=90.00 beta=90.00 gamma=90.00
With the nearest neighbours (Å) after each atom.
Fractional positions:
Tb (0.1639, 0.3361, 0.0000)  6 Au 3.01-3.09
Tb (0.3361, 0.8361, 0.0000)  6 Au 3.01-3.09
Tb (0.6639, 0.1639, 0.0000)  6 Au 3.01-3.09
Tb (0.8361, 0.6639, 0.0000)  6 Au 3.01-3.09
Tm (0.0000, 0.0000, 0.5000)  4 Au 3.19
Tm (0.5000, 0.5000, 0.5000)  4 Au 3.19
Au (0.1332, 0.6332, 0.5000)  6 Tb 3.01-3.09, 1 Au 3.08, 2 Tm 3.19
Au (0.3668, 0.1332, 0.5000)  6 Tb 3.01-3.09, 1 Au 3.08, 2 Tm 3.19
Au (0.6332, 0.8668, 0.5000)  6 Tb 3.01-3.09, 1 Au 3.08, 2 Tm 3.19
Au (0.8668, 0.3668, 0.5000)  6 Tb 3.01-3.09, 1 Au 3.08, 2 Tm 3.19

Computed properties:
calculated total energy = -4.7601 eV/atom
SG = P4/mbm

***

Record 2
Entry from the Alexandria database: a relaxed Sm2BiIr crystal (PBE).

Unit cell a=4.2862 b=4.2862 c=7.6467 alpha=106.33 beta=106.33 gamma=60.12
With the nearest neighbours (Å) after each atom.
Fractional positions:
Sm (0.2367, 0.2367, 0.2094)  3 Ir 2.90, 2 Bi 3.25
Sm (0.7633, 0.7633, 0.7906)  3 Ir 2.90, 2 Bi 3.25
Bi (0.0000, 0.0000, 0.5000)  6 Sm 3.25
Ir (0.5000, 0.5000, 0.0000)  6 Sm 2.90

Computed properties:
SG = C2/m
energy relative to the lowest polymorph listed for this composition = 63.8 meV/atom

***

Record 3
Entry from the Alexandria database: a relaxed SmMgSn3 crystal (PBE).

Unit cell a=13.2130 b=6.2558 c=6.3413 alpha=90.00 beta=90.00 gamma=90.00
With the nearest neighbours (Å) after each atom.
Fractional positions:
Sm (0.1884, 0.0030, 0.2500)  9 Sn 3.17-3.35, 2 Mg 3.45
Sm (0.1884, 0.4970, 0.7500)  9 Sn 3.17-3.35, 2 Mg 3.45
Sm (0.8116, 0.5030, 0.2500)  9 Sn 3.17-3.35, 2 Mg 3.45
Sm (0.8116, 0.9970, 0.7500)  9 Sn 3.17-3.35, 2 Mg 3.45
Mg (0.3883, 0.2500, 0.0000)  6 Sn 3.03-3.25, 2 Mg 3.17
Mg (0.3883, 0.2500, 0.5000)  6 Sn 3.03-3.25, 2 Mg 3.17
Mg (0.6117, 0.7500, 0.0000)  6 Sn 3.03-3.25, 2 Mg 3.17
Mg (0.6117, 0.7500, 0.5000)  6 Sn 3.03-3.25, 2 Mg 3.17
Sn (0.9997, 0.2500, 0.0000)  4 Sn 3.13-3.17, 4 Sm 3.33-3.35
Sn (0.9997, 0.2500, 0.5000)  4 Sn 3.13-3.17, 4 Sm 3.33-3.35
Sn (0.0003, 0.7500, 0.0000)  4 Sn 3.13-3.17, 4 Sm 3.33-3.35
Sn (0.0003, 0.7500, 0.5000)  4 Sn 3.13-3.17, 4 Sm 3.33-3.35
Sn (0.2322, 0.5052, 0.2500)  2 Mg 3.05, 1 Sn 3.07, 4 Sm 3.17-3.22
Sn (0.2322, 0.9948, 0.7500)  2 Mg 3.05, 1 Sn 3.07, 4 Sm 3.17-3.22
Sn (0.4181, 0.6991, 0.7500)  4 Mg 3.03-3.25, 3 Sn 3.07-3.23, 1 Sm 3.29
Sn (0.4181, 0.8009, 0.2500)  4 Mg 3.03-3.25, 3 Sn 3.07-3.23, 1 Sm 3.29
Sn (0.5819, 0.1991, 0.7500)  4 Mg 3.03-3.25, 3 Sn 3.07-3.23, 1 Sm 3.29
Sn (0.5819, 0.3009, 0.2500)  4 Mg 3.03-3.25, 3 Sn 3.07-3.23, 1 Sm 3.29
Sn (0.7678, 0.0052, 0.2500)  2 Mg 3.05, 1 Sn 3.07, 4 Sm 3.17-3.22
Sn (0.7678, 0.4948, 0.7500)  2 Mg 3.05, 1 Sn 3.07, 4 Sm 3.17-3.22

Computed properties:
calculated total energy = -4.0734 eV/atom
SG = Pbcm

***

Record 4
Entry from the Alexandria database: a relaxed Y2Si3Rh5 crystal (PBE).

Unit cell a=12.2887 b=12.2887 c=6.5800 alpha=90.00 beta=90.00 gamma=161.02
With the nearest neighbours (Å) after each atom.
Fractional positions:
Y (0.0201, 0.9799, 0.5000)  5 Si 2.78-2.97, 4 Rh 2.97-3.05
Y (0.3242, 0.6758, 0.5111)  9 Rh 2.87-3.12, 4 Si 2.98-3.08
Y (0.6758, 0.3242, 0.0111)  9 Rh 2.87-3.12, 4 Si 2.98-3.08
Y (0.9799, 0.0201, 0.0000)  5 Si 2.78-2.97, 4 Rh 2.97-3.05
Si (0.1115, 0.8885, 0.2438)  4 Rh 2.38-2.59
Si (0.2713, 0.7287, 0.0229)  7 Rh 2.39-2.49
Si (0.4502, 0.5498, 0.2931)  4 Rh 2.38-2.61
Si (0.5498, 0.4502, 0.7931)  4 Rh 2.38-2.61
Si (0.7287, 0.2713, 0.5229)  7 Rh 2.39-2.49
Si (0.8885, 0.1115, 0.7438)  4 Rh 2.38-2.59
Rh (0.0991, 0.9009, 0.8526)  3 Si 2.38-2.59
Rh (0.2075, 0.7925, 0.3169)  4 Si 2.38-2.49
Rh (0.2100, 0.7900, 0.7287)  3 Si 2.44-2.48, 1 Rh 2.71
Rh (0.3701, 0.6299, 0.0278)  2 Si 2.39-2.61
Rh (0.4420, 0.5580, 0.6610)  3 Si 2.43-2.47
Rh (0.5580, 0.4420, 0.1610)  3 Si 2.43-2.47
Rh (0.6299, 0.3701, 0.5278)  2 Si 2.39-2.61
Rh (0.7900, 0.2100, 0.2287)  3 Si 2.44-2.48, 1 Rh 2.71
Rh (0.7925, 0.2075, 0.8169)  4 Si 2.38-2.49
Rh (0.9009, 0.0991, 0.3526)  3 Si 2.38-2.59

Computed properties:
SG = Cmc2_1
ΔE_f (raw) = -0.94 eV/atom

***

no.,calculated density (g/cm³),total moment (μB/cell),DOS at the Fermi energy (states/eV per atom)
1,11.6,0.00,1.255
2,10.1,0.00,0.489
3,6.7,0.00,0.322
4,8.0,0.00,0.455